CuHgIr | PBE | optimized geometry

The distance to the lowest polymorph of the same formula is 0.000 eV/atom. As for the crystal system: trigonal. As for the total moment: 0.0 μB per formula unit. The total energy is -12.16 eV per cell.

The structure belongs to space group P3m1 (No. 156); the cell edges are 2.8743, 2.8743 and 6.6909 Å and the angles 90.00°, 90.00° and 120.00°. The inequivalent atoms are Cu at (0.0000, 0.0000, 0.0000), Hg at (0.6667, 0.3333, 0.3376) and Ir at (0.3333, 0.6667, 0.6981).

Cu2HgIr | PBE | optimized geometry

The distance to the lowest polymorph of the same formula is 0.120 eV/atom. As for the crystal system: orthorhombic. As for the total moment: 0.0 μB per formula unit. The total energy is -31.83 eV per cell.

The structure belongs to space group Cmm2 (No. 35); the cell edges are 2.855, 4.733 and 9.100 Å and the angles 90.00°, 90.00° and 90.00°. The inequivalent atoms are Cu at (0.000, 0.000, 0.000), Cu at (0.000, 0.500, 0.220), Hg at (0.000, 0.500, 0.735) and Ir at (0.000, 0.000, 0.454).

CuHg2Ir | PBE | optimized geometry

The distance to the lowest polymorph of the same formula is 0.058 eV/atom. As for the crystal system: tetragonal. As for the total moment: 0.0 μB per formula unit. The total energy is -23.94 eV per cell.

The structure belongs to space group I4/mmm (No. 139); the cell edges are 4.258, 4.258 and 7.646 Å and the angles 90.00°, 90.00° and 90.00°. The inequivalent atoms are Cu at (0.000, 0.000, 0.000), Hg at (0.000, 0.500, 0.250) and Ir at (0.000, 0.000, 0.500).

Q: The highest distance to the lowest polymorph of the same formula belongs to which entry?
A: Cu2HgIr

Q: total moment of number 2 (Cu2HgIr)?
A: 0.0 μB per formula unit

Q: Among the records above, which one has the highest distance to the lowest polymorph of the same formula?
A: Cu2HgIr